The following is a PBE calculation of La2Tb3Sm6 after structural relaxation, from Alexandria.

Output
Space group: C2/m (12)
DFT formation energy: 1.88 eV/f.u.

a b c (Å): 6.2138 6.2209 11.9387
angles (deg): 84.93 79.81 60.04
Element x y z (fractional)
La 0.1671 0.6658 0.5000
La 0.8329 0.3342 0.5000
Tb 0.0000 0.0000 0.0000
Tb 0.3349 0.3302 0.0000
Tb 0.6651 0.6698 0.0000
Sm 0.4153 0.6669 0.7543
Sm 0.7490 0.0000 0.7543
Sm 0.0822 0.3331 0.7543
Sm 0.2510 0.0000 0.2457
Sm 0.5847 0.3331 0.2457
Sm 0.9178 0.6669 0.2457

The following is a PBE calculation of La2Tb3Sm after structural relaxation, from Alexandria.

Output
Space group: C2/c (15)
DFT formation energy: 0.82 eV/f.u.

a b c (Å): 6.9581 9.3158 7.0412
angles (deg): 100.89 90.00 111.93
Element x y z (fractional)
La 0.3194 0.6480 0.4120
La 0.3285 0.6480 0.9120
La 0.6715 0.3520 0.0880
La 0.6806 0.3520 0.5880
Tb 0.7368 0.0000 0.7500
Tb 0.2632 0.0000 0.2500
Tb 0.8654 0.7238 0.9312
Tb 0.1417 0.2762 0.5688
Tb 0.8583 0.7238 0.4312
Tb 0.1346 0.2762 0.0688
Sm 0.7367 0.0000 0.2500
Sm 0.2633 0.0000 0.7500

The following is a PBE calculation of La2Tb7Sm3 after structural relaxation, from Alexandria.

Output
Space group: P2/m (10)
DFT formation energy: 0.98 eV/f.u.

a b c (Å): 3.5587 6.4131 18.1672
angles (deg): 75.77 90.00 90.00
Element x y z (fractional)
La 0.5000 0.6165 0.3277
La 0.5000 0.3835 0.6723
Tb 0.5000 0.2435 0.5003
Tb 0.5000 0.7565 0.4997
Tb 0.0000 0.5630 0.1625
Tb 0.0000 0.0000 0.0000
Tb 0.0000 0.4370 0.8375
Tb 0.5000 0.9370 0.8353
Tb 0.5000 0.0630 0.1647
Sm 0.5000 0.5000 0.0000
Sm 0.0000 0.1140 0.3412
Sm 0.0000 0.8860 0.6588

The following is a PBE calculation of LaTb2Sm3 after structural relaxation, from Alexandria.

Output
Space group: Immm (71)
DFT formation energy: 1.88 eV/f.u.

a b c (Å): 3.4895 5.9852 10.4938
angles (deg): 106.57 99.57 90.00
Element x y z (fractional)
La 0.0000 0.0000 0.0000
Tb 0.6384 0.6384 0.2767
Tb 0.3616 0.3616 0.7233
Sm 0.0000 0.5000 0.0000
Sm 0.8072 0.8072 0.6145
Sm 0.1928 0.1928 0.3855

| no. | E above lowest polymorph (meV/atom) |
| --- | --- |
| 1 | 0 |
| 2 | 0 |
| 3 | 0 |
| 4 | 297 |